Record 1
This record from Alexandria describes crystalline VCo4 at its relaxed geometry. The functional is PBE.

Cell: 2.5263 3.4824 12.7007 Å, 90.00 90.00 90.00°
Closest atoms and distances in Å follow each position.
Space group Immm (No. 71)
Symmetry-distinct sites (fractional):
V: 0.0000 0.0000 0.0000 x2  10 Co 2.52-2.57, 2 V 2.53
Co: 0.0000 0.0000 0.2022 x4  11 Co 2.47-2.53, 1 V 2.57
Co: 0.0000 0.0000 0.3963 x4  8 Co 2.47-2.63, 4 V 2.52

Properties
Formation energy from the elements in kJ per mole of atoms: -2.76
VASP energy in eV per atom: -7.537
Polymorph energy (0 for the lowest one) in meV per atom: 0

Record 2
This record from Alexandria describes crystalline Zr4As3N at its relaxed geometry. The functional is PBE.

Cell: 5.2588 8.1346 8.1438 Å, 90.00 90.00 90.00°
Closest atoms and distances in Å follow each position.
Space group Pmmn (No. 59, origin choice 2)
Symmetry-distinct sites (fractional):
Zr: 0.2500 0.0287 0.1791 x4  1 N 2.13
Zr: 0.2500 0.2500 0.5836 x2  1 N 2.15
Zr: 0.2500 0.7500 0.6798 x2  3 As 2.61-2.67, 2 N 2.63
As: 0.2500 0.0329 0.8457 x4  5 Zr 2.67-2.77
As: 0.2500 0.7500 0.3590 x2  5 Zr 2.61-2.70
N: 0.2500 0.2500 0.3197 x2  3 Zr 2.13-2.15

Properties
VASP energy in eV per atom: -7.963
E_form (uncorrected) in eV per atom: -0.905

Record 3
This record from Alexandria describes crystalline MnSi at its relaxed geometry. The functional is PBE.

Cell: 8.4735 2.7405 4.0950 Å, 90.00 107.85 90.00°
Closest atoms and distances in Å follow each position.
Space group C2/m (No. 12)
Symmetry-distinct sites (fractional):
Mn: 0.1252 0.0000 0.3163 x4  7 Si 2.38-2.48, 2 Mn 2.58
Si: 0.1202 0.5000 0.8183 x4  7 Mn 2.38-2.48, 2 Si 2.63

Properties
VASP energy in eV per atom: -7.622
E_form (uncorrected) in eV per atom: -0.325

Record 4
This record from Alexandria describes crystalline Al5CrOs6 at its relaxed geometry. The functional is PBE.

Cell: 4.2444 12.7373 6.0516 Å, 90.00 90.00 90.00°
Closest atoms and distances in Å follow each position.
Space group Cmmm (No. 65)
Symmetry-distinct sites (fractional):
Al: 0.0000 0.0000 0.0000 x2  8 Os 2.59-2.62
Al: 0.0000 0.3322 0.5000 x4  8 Os 2.60-2.61
Al: 0.0000 0.3334 0.0000 x4  8 Os 2.61-2.63
Cr: 0.0000 0.0000 0.5000 x2  8 Os 2.58-2.59
Os: 0.0000 0.1647 0.2509 x8  1 Cr 2.58, 7 Al 2.59-2.63
Os: 0.0000 0.5000 0.2534 x4  2 Cr 2.59, 6 Al 2.61-2.62

Properties
Formation energy from the elements in kJ per mole of atoms: -31.67
VASP energy in eV per atom: -8.304

Record 5
This record from Alexandria describes crystalline ReSiPt2 at its relaxed geometry. The functional is PBE.

Cell: 4.5797 4.5797 14.4080 Å, 90.00 90.00 90.00°
Closest atoms and distances in Å follow each position.
Space group I-42d (No. 122)
Symmetry-distinct sites (fractional):
Re: 0.0000 0.0000 0.0000 x4  4 Pt 2.50
Si: 0.0000 0.0000 0.5000 x4  4 Pt 2.36
Pt: 0.2176 0.2500 0.6250 x8  2 Si 2.36, 2 Re 2.50

Properties
VASP energy in eV per atom: -7.074
E_form (uncorrected) in eV per atom: 0.414